Record 1
First-principles (PBE) data for a relaxed TmInRuAu crystal, as listed in the Alexandria database.

The space group is F-43m (No. 216) and the conventional cell measures 6.7565, 6.7565 and 6.7565 Å, with angles of 90.00, 90.00 and 90.00 degrees. Symmetry generates all atoms from Tm at (0.0000, 0.0000, 0.0000), In at (0.0000, 0.0000, 0.5000), Ru at (0.2500, 0.2500, 0.7500) and Au at (0.2500, 0.2500, 0.2500).

The calculation puts the magnetization at 0.00 μB per formula unit. As for the theoretical density: 12.53 Mg/m³. Its density of states at the Fermi level is 0.664 states/eV/atom. The value obtained for the total energy is -5.297 eV per atom. The energy of formation from the pure elements is -0.36 eV/atom.

Record 2
First-principles (PBE) data for a relaxed InAuS crystal, as listed in the Alexandria database.

The space group is P2_1/c (No. 14) and the conventional cell measures 6.6576, 6.4544 and 7.3541 Å, with angles of 90.00, 113.93 and 90.00 degrees. Symmetry generates all atoms from In at (0.1328, 0.1128, 0.3051), Au at (0.2688, 0.7388, 0.2447) and S at (0.3575, 0.1288, 0.6927).

As for the formation energy (no corrections): -320 meV per atom. The calculation puts the magnetization at 0.00 μB per formula unit. As for the theoretical density: 7.91 Mg/m³. The energy above the lowest structure with this stoichiometry comes out at 0.0 kJ per mole of atoms. The value obtained for the total energy is -3.702 eV per atom.

Record 3
First-principles (PBE) data for a relaxed In2AuS2 crystal, as listed in the Alexandria database.

The space group is P4/mbm (No. 127) and the conventional cell measures 7.6154, 7.6154 and 3.6796 Å, with angles of 90.00, 90.00 and 90.00 degrees. Symmetry generates all atoms from In at (0.1632, 0.3368, 0.0000), Au at (0.0000, 0.0000, 0.0000) and S at (0.1443, 0.6443, 0.5000).

As for the formation energy (no corrections): -7 meV per atom. The calculation puts the magnetization at 0.00 μB per formula unit. As for the theoretical density: 7.64 Mg/m³. Its density of states at the Fermi level is 0.551 states/eV/atom. The energy above the lowest structure with this stoichiometry comes out at 30.3 kJ per mole of atoms. The value obtained for the total energy is -3.409 eV per atom.

Record 4
First-principles (PBE) data for a relaxed InAu3S crystal, as listed in the Alexandria database.

The space group is Pm-3m (No. 221) and the conventional cell measures 5.2060, 5.2060 and 5.2060 Å, with angles of 90.00, 90.00 and 90.00 degrees. Symmetry generates all atoms from In at (0.0000, 0.0000, 0.0000), Au at (0.0000, 0.0000, 0.5000) and S at (0.5000, 0.5000, 0.5000).

As for the formation energy (no corrections): 939 meV per atom. The calculation puts the magnetization at 1.65 μB per formula unit. As for the theoretical density: 8.68 Mg/m³. Its density of states at the Fermi level is 0.668 states/eV/atom. The energy above the lowest structure with this stoichiometry comes out at 61.7 kJ per mole of atoms. The value obtained for the total energy is -2.401 eV per atom.

Record 5
First-principles (PBE) data for a relaxed In2Au3S6 crystal, as listed in the Alexandria database.

The space group is C2/c (No. 15) and the conventional cell measures 11.2400, 6.3335 and 15.1558 Å, with angles of 90.00, 104.39 and 90.00 degrees. Symmetry generates all atoms from In at (0.0856, 0.2501, 0.0025), Au at (0.0000, 0.0737, 0.2500), Au at (0.1599, 0.4112, 0.7506), S at (0.0642, 0.0968, 0.4040), S at (0.1258, 0.3971, 0.5966) and S at (0.2155, 0.4463, 0.9045).

As for the formation energy (no corrections): -42 meV per atom. The calculation puts the magnetization at 0.00 μB per formula unit. As for the theoretical density: 6.44 Mg/m³. Its density of states at the Fermi level is 0.571 states/eV/atom. The value obtained for the total energy is -3.685 eV per atom.

Record 6
First-principles (PBE) data for a relaxed In8AuS6 crystal, as listed in the Alexandria database.

The space group is R-3 (No. 148, hexagonal axes) and the conventional cell measures 11.3313, 11.3313 and 10.1723 Å, with angles of 90.00, 90.00 and 120.00 degrees. Symmetry generates all atoms from In at (0.0000, 0.0000, 0.1562), In at (0.0756, 0.2529, 0.6260), Au at (0.0000, 0.0000, 0.5000) and S at (0.0127, 0.2669, 0.1415).

As for the formation energy (no corrections): -340 meV per atom. The calculation puts the magnetization at 0.00 μB per formula unit. As for the theoretical density: 5.76 Mg/m³. Its density of states at the Fermi level is 0.342 states/eV/atom. The value obtained for the total energy is -3.670 eV per atom.